# 1
Below is BTe2PN after structural relaxation, with properties calculated at the PBE level.

Structure (CIF):
```
data_BTe2PN
_chemical_formula_sum 'B1 Te2 P1 N1'
_cell_length_a 6.1068
_cell_length_b 6.1068
_cell_length_c 2.7314
_cell_angle_alpha 90.00
_cell_angle_beta 90.00
_cell_angle_gamma 90.00
_space_group_name_H-M_alt 'P 4/m m m'
_space_group_IT_number 123
_space_group_name_Hall '-P 4 2'
loop_
_atom_site_label
_atom_site_type_symbol
_atom_site_fract_x
_atom_site_fract_y
_atom_site_fract_z
B1 B 0.0000 0.0000 0.0000
Te1 Te 0.0000 0.5000 0.0000
P1 P 0.5000 0.5000 0.5000
N1 N 0.0000 0.0000 0.5000
```

ΔE to the lowest computed polymorph: 0.000 eV per formula unit
total energy: -4.86 eV/atom



# 2
Below is ThBP2N6 after structural relaxation, with properties calculated at the PBE level.

Structure (CIF):
```
data_ThBP2N6
_chemical_formula_sum 'Th4 B4 P8 N24'
_cell_length_a 10.1943
_cell_length_b 8.8257
_cell_length_c 5.7619
_cell_angle_alpha 90.00
_cell_angle_beta 119.54
_cell_angle_gamma 90.00
_space_group_name_H-M_alt 'C 1 2/c 1'
_space_group_IT_number 15
_space_group_name_Hall '-C 2yc'
loop_
_atom_site_label
_atom_site_type_symbol
_atom_site_fract_x
_atom_site_fract_y
_atom_site_fract_z
Th1 Th 0.0000 0.1743 0.2500
B1 B 0.0000 0.2033 0.7500
P1 P 0.2089 0.4253 0.1450
N1 N 0.0968 0.2877 0.0049
N2 N 0.1084 0.0973 0.7010
N3 N 0.1827 0.4398 0.4176
```

total energy: -8.16 eV/atom



# 3
Below is ZrB2PN after structural relaxation, with properties calculated at the PBE level.

Structure (CIF):
```
data_ZrB2PN
_chemical_formula_sum 'Zr1 B2 P1 N1'
_cell_length_a 3.5817
_cell_length_b 3.5817
_cell_length_c 4.5303
_cell_angle_alpha 90.00
_cell_angle_beta 90.00
_cell_angle_gamma 90.00
_space_group_name_H-M_alt 'P 4/m m m'
_space_group_IT_number 123
_space_group_name_Hall '-P 4 2'
loop_
_atom_site_label
_atom_site_type_symbol
_atom_site_fract_x
_atom_site_fract_y
_atom_site_fract_z
Zr1 Zr 0.0000 0.0000 0.0000
B1 B 0.0000 0.5000 0.5000
P1 P 0.5000 0.5000 0.0000
N1 N 0.0000 0.0000 0.5000
```

total energy: -6.41 eV/atom



# 4
Below is PaBN after structural relaxation, with properties calculated at the PBE level.

Structure (CIF):
```
data_PaBN
_chemical_formula_sum 'Pa4 B4 N4'
_cell_length_a 2.8875
_cell_length_b 6.1682
_cell_length_c 7.5787
_cell_angle_alpha 90.00
_cell_angle_beta 90.00
_cell_angle_gamma 90.00
_space_group_name_H-M_alt 'I m m m'
_space_group_IT_number 71
_space_group_name_Hall '-I 2 2'
loop_
_atom_site_label
_atom_site_type_symbol
_atom_site_fract_x
_atom_site_fract_y
_atom_site_fract_z
Pa1 Pa 0.0000 0.0000 0.2273
B1 B 0.0000 0.3556 0.0000
N1 N 0.0000 0.2622 0.5000
```

ΔE to the lowest computed polymorph: 1.787 eV per formula unit
total energy: -8.83 eV/atom



# 5
Below is PaBN2 after structural relaxation, with properties calculated at the PBE level.

Structure (CIF):
```
data_PaBN2
_chemical_formula_sum 'Pa4 B4 N8'
_cell_length_a 6.1833
_cell_length_b 5.5559
_cell_length_c 6.7201
_cell_angle_alpha 90.00
_cell_angle_beta 115.31
_cell_angle_gamma 90.00
_space_group_name_H-M_alt 'C 1 2/c 1'
_space_group_IT_number 15
_space_group_name_Hall '-C 2yc'
loop_
_atom_site_label
_atom_site_type_symbol
_atom_site_fract_x
_atom_site_fract_y
_atom_site_fract_z
Pa1 Pa 0.0000 0.1380 0.2500
B1 B 0.0000 0.3517 0.7500
N1 N 0.0996 0.2286 0.6191
```

ΔE to the lowest computed polymorph: 0.000 eV per formula unit
total energy: -9.26 eV/atom



# 6
Below is PaBN after structural relaxation, with properties calculated at the PBE level.

Structure (CIF):
```
data_PaBN
_chemical_formula_sum 'Pa4 B4 N4'
_cell_length_a 3.6611
_cell_length_b 11.8922
_cell_length_c 3.3520
_cell_angle_alpha 90.00
_cell_angle_beta 90.00
_cell_angle_gamma 90.00
_space_group_name_H-M_alt 'C m c m'
_space_group_IT_number 63
_space_group_name_Hall '-C 2c 2'
loop_
_atom_site_label
_atom_site_type_symbol
_atom_site_fract_x
_atom_site_fract_y
_atom_site_fract_z
Pa1 Pa 0.0000 0.1366 0.2500
B1 B 0.0000 0.4658 0.2500
N1 N 0.0000 0.3381 0.2500
```

ΔE to the lowest computed polymorph: 0.000 eV per formula unit
total energy: -9.42 eV/atom



# 7
Below is PaBN2 after structural relaxation, with properties calculated at the PBE level.

Structure (CIF):
```
data_PaBN2
_chemical_formula_sum 'Pa3 B3 N6'
_cell_length_a 3.4869
_cell_length_b 3.4869
_cell_length_c 16.3515
_cell_angle_alpha 90.00
_cell_angle_beta 90.00
_cell_angle_gamma 120.00
_space_group_name_H-M_alt 'R -3 m'
_space_group_IT_number 166
_space_group_name_Hall '-R 3 2"'
loop_
_atom_site_label
_atom_site_type_symbol
_atom_site_fract_x
_atom_site_fract_y
_atom_site_fract_z
Pa1 Pa 0.0000 0.0000 0.0000
B1 B 0.0000 0.0000 0.5000
N1 N 0.0000 0.0000 0.4177
```

ΔE to the lowest computed polymorph: 0.567 eV per formula unit
total energy: -9.12 eV/atom



# 8
Below is PaBN after structural relaxation, with properties calculated at the PBE level.

Structure (CIF):
```
data_PaBN
_chemical_formula_sum 'Pa2 B2 N2'
_cell_length_a 3.6539
_cell_length_b 3.6539
_cell_length_c 6.1565
_cell_angle_alpha 90.00
_cell_angle_beta 90.00
_cell_angle_gamma 90.00
_space_group_name_H-M_alt 'I 4 m m'
_space_group_IT_number 107
_space_group_name_Hall 'I 4 -2'
loop_
_atom_site_label
_atom_site_type_symbol
_atom_site_fract_x
_atom_site_fract_y
_atom_site_fract_z
Pa1 Pa 0.0000 0.0000 0.0000
B1 B 0.0000 0.0000 0.6001
N1 N 0.0000 0.0000 0.3733
```

ΔE to the lowest computed polymorph: 1.497 eV per formula unit
total energy: -8.92 eV/atom



# 9
Below is Pa2BN after structural relaxation, with properties calculated at the PBE level.

Structure (CIF):
```
data_Pa2BN
_chemical_formula_sum 'Pa6 B3 N3'
_cell_length_a 3.6627
_cell_length_b 3.6627
_cell_length_c 17.2458
_cell_angle_alpha 90.00
_cell_angle_beta 90.00
_cell_angle_gamma 120.00
_space_group_name_H-M_alt 'R -3 m'
_space_group_IT_number 166
_space_group_name_Hall '-R 3 2"'
loop_
_atom_site_label
_atom_site_type_symbol
_atom_site_fract_x
_atom_site_fract_y
_atom_site_fract_z
Pa1 Pa 0.0000 0.0000 0.2467
B1 B 0.0000 0.0000 0.0000
N1 N 0.0000 0.0000 0.5000
```

total energy: -9.28 eV/atom



# 10
Below is Pa2B2PbN6 after structural relaxation, with properties calculated at the PBE level.

Structure (CIF):
```
data_Pa2B2PbN6
_chemical_formula_sum 'Pa4 B4 Pb2 N12'
_cell_length_a 10.2841
_cell_length_b 6.2590
_cell_length_c 6.1329
_cell_angle_alpha 90.00
_cell_angle_beta 120.15
_cell_angle_gamma 90.00
_space_group_name_H-M_alt 'C 1 2/m 1'
_space_group_IT_number 12
_space_group_name_Hall '-C 2y'
loop_
_atom_site_label
_atom_site_type_symbol
_atom_site_fract_x
_atom_site_fract_y
_atom_site_fract_z
Pa1 Pa 0.1770 0.0000 0.3073
B1 B 0.1662 0.0000 0.7570
Pb1 Pb 0.0000 0.5000 0.0000
N1 N 0.0719 0.0000 0.8705
N2 N 0.2175 0.1942 0.6886
```

total energy: -8.67 eV/atom



# 11
Below is Pm2PaB2N6 after structural relaxation, with properties calculated at the PBE level.

Structure (CIF):
```
data_Pm2PaB2N6
_chemical_formula_sum 'Pm2 Pa1 B2 N6'
_cell_length_a 5.5582
_cell_length_b 5.5582
_cell_length_c 5.5683
_cell_angle_alpha 90.00
_cell_angle_beta 90.00
_cell_angle_gamma 120.00
_space_group_name_H-M_alt 'P -3'
_space_group_IT_number 147
_space_group_name_Hall '-P 3'
loop_
_atom_site_label
_atom_site_type_symbol
_atom_site_fract_x
_atom_site_fract_y
_atom_site_fract_z
Pm1 Pm 0.3333 0.6667 0.3294
Pa1 Pa 0.0000 0.0000 0.0000
B1 B 0.3333 0.6667 0.7911
N1 N 0.1224 0.3763 0.7643
```

total energy: -8.55 eV/atom



# 12
Below is Pr2PaB2N6 after structural relaxation, with properties calculated at the PBE level.

Structure (CIF):
```
data_Pr2PaB2N6
_chemical_formula_sum 'Pr2 Pa1 B2 N6'
_cell_length_a 5.5976
_cell_length_b 5.5976
_cell_length_c 5.5908
_cell_angle_alpha 90.00
_cell_angle_beta 90.00
_cell_angle_gamma 120.00
_space_group_name_H-M_alt 'P -3'
_space_group_IT_number 147
_space_group_name_Hall '-P 3'
loop_
_atom_site_label
_atom_site_type_symbol
_atom_site_fract_x
_atom_site_fract_y
_atom_site_fract_z
Pr1 Pr 0.3333 0.6667 0.3226
Pa1 Pa 0.0000 0.0000 0.0000
B1 B 0.3333 0.6667 0.7897
N1 N 0.1367 0.3749 0.7650
```

total energy: -8.55 eV/atom



# 13
Below is Pr3PaB2N6 after structural relaxation, with properties calculated at the PBE level.

Structure (CIF):
```
data_Pr3PaB2N6
_chemical_formula_sum 'Pr3 Pa1 B2 N6'
_cell_length_a 5.5963
_cell_length_b 5.5963
_cell_length_c 6.7645
_cell_angle_alpha 90.00
_cell_angle_beta 90.00
_cell_angle_gamma 120.00
_space_group_name_H-M_alt 'P -3 m 1'
_space_group_IT_number 164
_space_group_name_Hall '-P 3 2"'
loop_
_atom_site_label
_atom_site_type_symbol
_atom_site_fract_x
_atom_site_fract_y
_atom_site_fract_z
Pr1 Pr 0.0000 0.0000 0.0000
Pr2 Pr 0.3333 0.6667 0.6825
Pa1 Pa 0.0000 0.0000 0.5000
B1 B 0.3333 0.6667 0.2654
N1 N 0.1831 0.3662 0.2934
```

total energy: -8.38 eV/atom



# 14
Below is RbPa2B2N6 after structural relaxation, with properties calculated at the PBE level.

Structure (CIF):
```
data_RbPa2B2N6
_chemical_formula_sum 'Rb2 Pa4 B4 N12'
_cell_length_a 10.5183
_cell_length_b 6.1276
_cell_length_c 6.1005
_cell_angle_alpha 90.00
_cell_angle_beta 118.13
_cell_angle_gamma 90.00
_space_group_name_H-M_alt 'C 1 2/m 1'
_space_group_IT_number 12
_space_group_name_Hall '-C 2y'
loop_
_atom_site_label
_atom_site_type_symbol
_atom_site_fract_x
_atom_site_fract_y
_atom_site_fract_z
Rb1 Rb 0.0000 0.0000 0.0000
Pa1 Pa 0.1751 0.5000 0.3044
B1 B 0.1561 0.5000 0.7421
N1 N 0.0707 0.5000 0.8716
N2 N 0.2021 0.3008 0.6655
```

total energy: -8.53 eV/atom



# 15
Below is RbPaBN3 after structural relaxation, with properties calculated at the PBE level.

Structure (CIF):
```
data_RbPaBN3
_chemical_formula_sum 'Rb2 Pa2 B2 N6'
_cell_length_a 5.6308
_cell_length_b 5.6308
_cell_length_c 6.3213
_cell_angle_alpha 90.00
_cell_angle_beta 90.00
_cell_angle_gamma 120.00
_space_group_name_H-M_alt 'P 63/m m c'
_space_group_IT_number 194
_space_group_name_Hall '-P 6c 2c'
loop_
_atom_site_label
_atom_site_type_symbol
_atom_site_fract_x
_atom_site_fract_y
_atom_site_fract_z
Rb1 Rb 0.3333 0.6667 0.2500
Pa1 Pa 0.0000 0.0000 0.0000
B1 B 0.3333 0.6667 0.7500
N1 N 0.1788 0.3577 0.7500
```

total energy: -7.91 eV/atom



# 16
Below is SrPa2B2N6 after structural relaxation, with properties calculated at the PBE level.

Structure (CIF):
```
data_SrPa2B2N6
_chemical_formula_sum 'Sr1 Pa2 B2 N6'
_cell_length_a 5.2952
_cell_length_b 5.5835
_cell_length_c 6.2907
_cell_angle_alpha 103.80
_cell_angle_beta 111.63
_cell_angle_gamma 107.22
_space_group_name_H-M_alt 'P -1'
_space_group_IT_number 2
_space_group_name_Hall '-P 1'
loop_
_atom_site_label
_atom_site_type_symbol
_atom_site_fract_x
_atom_site_fract_y
_atom_site_fract_z
Sr1 Sr 0.0000 0.0000 0.0000
Pa1 Pa 0.3923 0.2909 0.6703
B1 B 0.0059 0.5460 0.2668
N1 N 0.1162 0.8469 0.3758
N2 N 0.2225 0.4355 0.3578
N3 N 0.3128 0.6202 0.9204
```

total energy: -8.87 eV/atom



# 17
Below is Tb2PaB2N6 after structural relaxation, with properties calculated at the PBE level.

Structure (CIF):
```
data_Tb2PaB2N6
_chemical_formula_sum 'Tb2 Pa1 B2 N6'
_cell_length_a 5.4489
_cell_length_b 5.4489
_cell_length_c 5.6959
_cell_angle_alpha 90.00
_cell_angle_beta 90.00
_cell_angle_gamma 120.00
_space_group_name_H-M_alt 'P -3'
_space_group_IT_number 147
_space_group_name_Hall '-P 3'
loop_
_atom_site_label
_atom_site_type_symbol
_atom_site_fract_x
_atom_site_fract_y
_atom_site_fract_z
Tb1 Tb 0.3333 0.6667 0.3513
Pa1 Pa 0.0000 0.0000 0.0000
B1 B 0.3333 0.6667 0.7948
N1 N 0.0975 0.3782 0.7649
```

total energy: -8.54 eV/atom



# 18
Below is Pa2TlB2N6 after structural relaxation, with properties calculated at the PBE level.

Structure (CIF):
```
data_Pa2TlB2N6
_chemical_formula_sum 'Pa2 Tl1 B2 N6'
_cell_length_a 6.0708
_cell_length_b 6.0861
_cell_length_c 6.1207
_cell_angle_alpha 65.18
_cell_angle_beta 65.28
_cell_angle_gamma 60.38
_space_group_name_H-M_alt 'P -1'
_space_group_IT_number 2
_space_group_name_Hall '-P 1'
loop_
_atom_site_label
_atom_site_type_symbol
_atom_site_fract_x
_atom_site_fract_y
_atom_site_fract_z
Pa1 Pa 0.1749 0.1747 0.1963
Tl1 Tl 0.5000 0.5000 0.5000
B1 B 0.1563 0.1589 0.7556
N1 N 0.0034 0.4025 0.8323
N2 N 0.0703 0.0731 0.6284
N3 N 0.4016 0.0065 0.8310
```

total energy: -8.53 eV/atom



# 19
Below is B6PbN6 after structural relaxation, with properties calculated at the PBE level.

Structure (CIF):
```
data_B6PbN6
_chemical_formula_sum 'B6 Pb1 N6'
_cell_length_a 4.7147
_cell_length_b 4.7147
_cell_length_c 4.7147
_cell_angle_alpha 90.00
_cell_angle_beta 90.00
_cell_angle_gamma 90.00
_space_group_name_H-M_alt 'P m -3'
_space_group_IT_number 200
_space_group_name_Hall '-P 2 2 3'
loop_
_atom_site_label
_atom_site_type_symbol
_atom_site_fract_x
_atom_site_fract_y
_atom_site_fract_z
B1 B 0.0000 0.2472 0.5000
Pb1 Pb 0.0000 0.0000 0.0000
N1 N 0.0000 0.5000 0.2565
```

total energy: -7.17 eV/atom



# 20
Below is B2PbN after structural relaxation, with properties calculated at the PBE level.

Structure (CIF):
```
data_B2PbN
_chemical_formula_sum 'B8 Pb4 N4'
_cell_length_a 5.9517
_cell_length_b 5.9517
_cell_length_c 5.9517
_cell_angle_alpha 90.00
_cell_angle_beta 90.00
_cell_angle_gamma 90.00
_space_group_name_H-M_alt 'F m -3 m'
_space_group_IT_number 225
_space_group_name_Hall '-F 4 2 3'
loop_
_atom_site_label
_atom_site_type_symbol
_atom_site_fract_x
_atom_site_fract_y
_atom_site_fract_z
B1 B 0.2500 0.2500 0.2500
Pb1 Pb 0.0000 0.0000 0.0000
N1 N 0.0000 0.0000 0.5000
```

ΔE to the lowest computed polymorph: 7.113 eV per formula unit
total energy: -3.75 eV/atom



Calculated formation energy without anion corrections in order - 0.484; -0.670; 0.713; -0.659; -1.051; -1.255; -0.910; -0.756; -0.783; -0.856; -1.068; -1.063; -1.118; -0.956; -0.889; -1.233; -1.084; -0.838; 0.043; 2.599 eV/atom
Calculated density in order - 5070; 5726; 4510; 12590; 8588; 11644; 7808; 10338; 12105; 7539; 6985; 6770; 6873; 6256; 7067; 7161; 7421; 7456; 5642; 7650 kg/m³